Record 1
# Ac2La8Co3

A geometry-optimized Ac2La8Co3 structure (PBE-GGA, the Alexandria database).

**E_tot**: -5.199 eV per atom
**Calculated volume**: 477 Å³ per cell
**E_form**: 0.10 eV/atom
**Space-group type**: P-1, No. 2
**DOS(E_F)**: 16.1 states/eV per cell
**Total magnetization**: 0.000 μB/f.u.

Cell and atoms, written as POSCAR:
```
Ac2La8Co3
1.0
6.4745 -0.0566 -2.0381
-0.8486 6.5956 -2.8418
0.0394 0.7869 10.7904
Ac La Co
2 8 3
Cartesian
4.5888 5.2718 1.5884
1.0766 2.0541 4.3221
0.8810 3.4603 7.5547
4.7844 3.8656 -1.6442
0.1356 6.7780 6.2746
5.5297 0.5479 -0.3642
1.5992 5.6708 -1.1030
2.0452 2.3760 0.3111
3.6202 4.9499 5.5994
4.0661 1.6552 7.0135
3.2372 -0.0283 -1.0191
-0.2551 2.0555 -0.8832
5.9205 5.2704 6.7937
```

Record 2
# ZrNi2Cl

A geometry-optimized ZrNi2Cl structure (PBE-GGA, the Alexandria database).

**ΔE_f (raw)**: -0.07 eV per atom
**E_tot**: -5.557 eV per atom
**Calculated volume**: 124 Å³ per cell
**Space-group type**: I-42d, No. 122
**DOS(E_F)**: 9.9 states/eV per cell
**Total magnetization**: 0.000 μB/f.u.

Cell and atoms, written as POSCAR:
```
ZrNi2Cl
1.0
6.9805 0.0000 0.0000
0.0000 6.9805 0.0000
3.4903 3.4903 2.5438
Ni Zr Cl
4 2 2
Cartesian
5.0260 1.7451 0.6360
1.9545 5.2354 0.6360
5.2354 5.4448 1.9079
8.7257 8.5163 1.9079
0.0000 0.0000 0.0000
6.9805 3.4903 1.2719
3.4903 3.4903 0.0000
3.4903 6.9805 1.2719
```

Record 3
# Ca2ZnGaSe

A geometry-optimized Ca2ZnGaSe structure (PBE-GGA, the Alexandria database).

**ΔE_f (raw)**: -0.37 eV per atom
**E_tot**: -2.723 eV per atom
**Calculated volume**: 148 Å³ per cell
**Space-group type**: P4/mmm, No. 123
**DOS(E_F)**: 4.2 states/eV per cell
**Total magnetization**: 0.000 μB/f.u.

Cell and atoms, written as POSCAR:
```
Ca2ZnGaSe
1.0
5.4906 0.0000 0.0000
0.0000 4.9082 0.0000
0.0000 0.0000 5.4906
Zn Ca Ga Se
1 2 1 1
Cartesian
0.0000 2.4541 0.0000
0.0000 0.0000 2.7453
2.7453 0.0000 0.0000
2.7453 2.4541 2.7453
0.0000 0.0000 0.0000
```

Record 4
# La2InRe

A geometry-optimized La2InRe structure (PBE-GGA, the Alexandria database).

**E_tot**: -5.969 eV per atom
**Calculated volume**: 225 Å³ per cell
**E_form**: 0.29 eV/atom
**Space-group type**: I-42d, No. 122
**DOS(E_F)**: 5.9 states/eV per cell
**Total magnetization**: 0.000 μB/f.u.

Cell and atoms, written as POSCAR:
```
La2InRe
1.0
8.6232 0.0000 0.0000
0.0000 8.6232 0.0000
4.3116 4.3116 3.0192
Re In La
2 2 4
Cartesian
0.0000 0.0000 0.0000
8.6232 4.3116 1.5096
4.3116 4.3116 0.0000
4.3116 8.6232 1.5096
7.0513 2.1558 0.7548
1.5719 6.4674 0.7548
6.4674 5.8835 2.2644
10.7790 11.3628 2.2644
```